A.
VASP calculation (PBE) on crystalline BeCuI2O at its relaxed geometry.

abc: 5.4189 5.4189 3.6732
angles: 90.00 90.00 90.00
Positions (direct):
1 Be 0.0000 0.0000 0.0000
2 Cu 0.5000 0.5000 0.5000
3 I 0.0000 0.5000 0.5000
4 I 0.5000 0.0000 0.5000
5 O 0.5000 0.5000 0.0000

The volume comes out at 107.86 Å³ per cell. As for the symmetry: P4/mmm. The value obtained for the magnetic moment is 0.65 μB per cell. Its density of states at the Fermi level is 5.44 states/eV/f.u.

B.
VASP calculation (PBE) on crystalline BeCuI2O at its relaxed geometry.

abc: 6.1672 6.1672 2.9262
angles: 90.00 90.00 90.00
Positions (direct):
1 Be 0.0000 0.0000 0.0000
2 Cu 0.5000 0.5000 0.5000
3 I 0.0000 0.5000 0.0000
4 I 0.5000 0.0000 0.0000
5 O 0.0000 0.0000 0.5000

The volume comes out at 111.30 Å³ per cell. As for the symmetry: P4/mmm. The value obtained for the magnetic moment is 0.00 μB per cell. Its density of states at the Fermi level is 0.22 states/eV/f.u.

Which structure wins on stability? B wins.